# 1
The following is a DFT calculation (SCAN) of a crystal of Nb3TePd relaxed with PBEsol.

Computed properties:
Raw formation energy, kJ/mol of atoms: 101.4

Unit cell a=4.837 b=4.837 c=4.837 alpha=90.00 beta=90.00 gamma=90.00
Element x y z (fractional)
Te (0.500, 0.500, 0.500)
Nb (0.000, 0.000, 0.500)
Nb (0.500, 0.000, 0.000)
Nb (0.000, 0.500, 0.000)
Pd (0.000, 0.000, 0.000)


# 2
The following is a DFT calculation (SCAN) of a crystal of NbTe5Pd relaxed with PBEsol.

Computed properties:
Raw formation energy, kJ/mol of atoms: -39.8

Unit cell a=3.706 b=12.641 c=15.730 alpha=90.00 beta=90.00 gamma=90.00
Element x y z (fractional)
Nb (0.750, 0.746, 0.158)
Nb (0.250, 0.246, 0.342)
Nb (0.250, 0.254, 0.842)
Nb (0.750, 0.754, 0.658)
Pd (0.750, 0.239, 0.092)
Pd (0.250, 0.761, 0.908)
Pd (0.750, 0.261, 0.592)
Pd (0.250, 0.739, 0.408)
Te (0.750, 0.134, 0.943)
Te (0.750, 0.355, 0.237)
Te (0.750, 0.849, 0.492)
Te (0.750, 0.631, 0.320)
Te (0.750, 0.651, 0.992)
Te (0.250, 0.578, 0.153)
Te (0.250, 0.369, 0.680)
Te (0.750, 0.366, 0.443)
Te (0.250, 0.922, 0.653)
Te (0.250, 0.855, 0.263)
Te (0.250, 0.645, 0.763)
Te (0.250, 0.349, 0.008)
Te (0.750, 0.422, 0.847)
Te (0.750, 0.145, 0.737)
Te (0.250, 0.151, 0.508)
Te (0.250, 0.131, 0.180)
Te (0.750, 0.078, 0.347)
Te (0.250, 0.634, 0.557)
Te (0.250, 0.866, 0.057)
Te (0.750, 0.869, 0.820)


# 3
The following is a DFT calculation (SCAN) of a crystal of Ti2NbPd relaxed with PBEsol.

Computed properties:
Formation enthalpy at 0 K, eV/atom: -0.33

Unit cell a=4.451 b=4.451 c=4.451 alpha=60.00 beta=60.00 gamma=60.00
Element x y z (fractional)
Ti (0.750, 0.750, 0.750)
Ti (0.250, 0.250, 0.250)
Pd (0.500, 0.500, 0.500)
Nb (0.000, 0.000, 0.000)


# 4
The following is a DFT calculation (SCAN) of a crystal of NbTl2Pd relaxed with PBEsol.

Computed properties:
Formation enthalpy at 0 K, eV/atom: 0.30

Unit cell a=4.770 b=4.770 c=4.770 alpha=60.00 beta=60.00 gamma=60.00
Each line ends with the local moment (μB).
Element x y z (fractional)
Pd (0.500, 0.500, 0.500)  -0.04
Tl (0.750, 0.750, 0.750)  0.01
Tl (0.250, 0.250, 0.250)  0.01
Nb (0.000, 0.000, 0.000)  1.41


# 5
The following is a DFT calculation (SCAN) of a crystal of NbPd3W relaxed with PBEsol.

Computed properties:
Formation enthalpy at 0 K, eV/atom: 1.35

Unit cell a=4.686 b=4.686 c=4.686 alpha=90.00 beta=90.00 gamma=90.00
Each line ends with the local moment (μB).
Element x y z (fractional)
Pd (0.000, 0.000, 0.500)  -0.01
Pd (0.500, 0.000, 0.000)  -0.01
Pd (0.000, 0.500, 0.000)  -0.01
W (0.000, 0.000, 0.000)  -0.23
Nb (0.500, 0.500, 0.500)  1.95


# 6
The following is a DFT calculation (SCAN) of a crystal of ZrNb2Pd9 relaxed with PBEsol.

Computed properties:
Formation enthalpy at 0 K, eV/atom: -0.58

Unit cell a=3.904 b=3.904 c=12.301 alpha=99.13 beta=99.13 gamma=90.00
Element x y z (fractional)
Pd (0.168, 0.168, 0.336)
Pd (0.414, 0.914, 0.828)
Pd (0.586, 0.086, 0.172)
Pd (0.250, 0.750, 0.500)
Pd (0.914, 0.414, 0.828)
Pd (0.832, 0.832, 0.664)
Pd (0.750, 0.250, 0.500)
Pd (0.086, 0.586, 0.172)
Pd (0.500, 0.500, 0.000)
Nb (0.333, 0.333, 0.666)
Nb (0.667, 0.667, 0.334)
Zr (0.000, 0.000, 0.000)


# 7
The following is a DFT calculation (SCAN) of a crystal of Pr3Nb relaxed with PBEsol.

Computed properties:
Formation enthalpy at 0 K, eV/atom: 0.36

Unit cell a=4.873 b=4.873 c=5.834 alpha=114.68 beta=114.68 gamma=90.00
Each line ends with the local moment (μB).
Element x y z (fractional)
Pr (0.500, 0.500, 0.000)  0.23
Pr (0.250, 0.750, 0.500)  0.12
Pr (0.750, 0.250, 0.500)  0.12
Nb (0.000, 0.000, 0.000)  -1.47


# 8
The following is a DFT calculation (SCAN) of a crystal of Nb2Pt relaxed with PBEsol.

Computed properties:
Formation enthalpy at 0 K, eV/atom: -0.63

Unit cell a=5.120 b=9.898 c=9.898 alpha=90.00 beta=90.00 gamma=90.00
Element x y z (fractional)
Pt (0.000, 0.263, 0.932)
Pt (0.500, 0.237, 0.432)
Pt (0.000, 0.000, 0.000)
Pt (0.000, 0.932, 0.263)
Pt (0.000, 0.068, 0.737)
Pt (0.500, 0.432, 0.237)
Pt (0.500, 0.763, 0.568)
Pt (0.000, 0.737, 0.068)
Pt (0.500, 0.568, 0.763)
Pt (0.500, 0.500, 0.500)
Nb (0.247, 0.679, 0.321)
Nb (0.000, 0.874, 0.538)
Nb (0.753, 0.321, 0.679)
Nb (0.747, 0.179, 0.179)
Nb (0.500, 0.038, 0.626)
Nb (0.000, 0.393, 0.393)
Nb (0.253, 0.821, 0.821)
Nb (0.000, 0.607, 0.607)
Nb (0.500, 0.374, 0.962)
Nb (0.000, 0.126, 0.462)
Nb (0.000, 0.538, 0.874)
Nb (0.500, 0.893, 0.107)
Nb (0.253, 0.179, 0.179)
Nb (0.500, 0.107, 0.893)
Nb (0.753, 0.679, 0.321)
Nb (0.247, 0.321, 0.679)
Nb (0.500, 0.626, 0.038)
Nb (0.500, 0.962, 0.374)
Nb (0.000, 0.462, 0.126)
Nb (0.747, 0.821, 0.821)


# 9
The following is a DFT calculation (SCAN) of a crystal of NbPt2 relaxed with PBEsol.

Computed properties:
Formation enthalpy at 0 K, eV/atom: -0.82

Unit cell a=4.873 b=4.873 c=4.873 alpha=146.71 beta=132.08 gamma=59.60
Element x y z (fractional)
Pt (0.335, 0.335, 0.000)
Pt (0.665, 0.665, 0.000)
Nb (0.000, 0.000, 0.000)


# 10
The following is a DFT calculation (SCAN) of a crystal of NbPt3 relaxed with PBEsol.

Computed properties:
Formation enthalpy at 0 K, eV/atom: -0.75

Unit cell a=4.872 b=5.540 c=9.290 alpha=90.00 beta=100.69 gamma=90.00
Element x y z (fractional)
Pt (0.881, 0.001, 0.626)
Pt (0.792, 0.250, 0.872)
Pt (0.208, 0.750, 0.128)
Pt (0.292, 0.002, 0.877)
Pt (0.119, 0.999, 0.374)
Pt (0.708, 0.502, 0.123)
Pt (0.708, 0.998, 0.123)
Pt (0.119, 0.501, 0.374)
Pt (0.389, 0.750, 0.624)
Pt (0.292, 0.498, 0.877)
Pt (0.611, 0.250, 0.376)
Pt (0.881, 0.499, 0.626)
Nb (0.380, 0.250, 0.623)
Nb (0.620, 0.750, 0.377)
Nb (0.212, 0.250, 0.127)
Nb (0.788, 0.750, 0.873)


# 11
The following is a DFT calculation (SCAN) of a crystal of NbPt relaxed with PBEsol.

Computed properties:
Formation enthalpy at 0 K, eV/atom: -0.82

Unit cell a=2.788 b=4.962 c=13.825 alpha=90.00 beta=90.00 gamma=90.00
Element x y z (fractional)
Pt (0.500, 0.157, 0.084)
Pt (0.500, 0.493, 0.250)
Pt (0.500, 0.507, 0.750)
Pt (0.500, 0.157, 0.416)
Pt (0.500, 0.843, 0.584)
Pt (0.500, 0.843, 0.916)
Nb (0.000, 0.994, 0.250)
Nb (0.000, 0.344, 0.918)
Nb (0.000, 0.656, 0.082)
Nb (0.000, 0.006, 0.750)
Nb (0.000, 0.656, 0.418)
Nb (0.000, 0.344, 0.582)


# 12
The following is a DFT calculation (SCAN) of a crystal of NbPt3 relaxed with PBEsol.

Computed properties:
Formation enthalpy at 0 K, eV/atom: -0.75

Unit cell a=4.559 b=4.871 c=5.546 alpha=90.00 beta=90.00 gamma=90.00
Element x y z (fractional)
Pt (0.000, 0.165, 0.750)
Pt (0.000, 0.165, 0.250)
Pt (0.500, 0.835, 0.250)
Pt (0.000, 0.661, 0.500)
Pt (0.500, 0.835, 0.750)
Pt (0.500, 0.339, 0.000)
Nb (0.500, 0.341, 0.500)
Nb (0.000, 0.659, 0.000)


Number 1: final energy -32.83 eV per atom, total magnetization 0.00 Bohr magnetons per cell. Number 2: final energy -36.44 eV per atom, total magnetization 0.00 Bohr magnetons per cell. Number 3: final energy -24.82 eV per atom, total magnetization 0.00 Bohr magnetons per cell. Number 4: final energy -52.35 eV per atom, total magnetization 1.73 Bohr magnetons per cell. Number 5: final energy -38.87 eV per atom, total magnetization 2.31 Bohr magnetons per cell. Number 6: final energy -33.25 eV per atom, total magnetization 0.00 Bohr magnetons per cell. Number 7: final energy -40.42 eV per atom, total magnetization 1.13 Bohr magnetons per cell. Number 8: final energy -46.12 eV per atom, total magnetization 0.00 Bohr magnetons per cell. Number 9: final energy -58.66 eV per atom, total magnetization 0.00 Bohr magnetons per cell. Number 10: final energy -61.68 eV per atom, total magnetization 0.00 Bohr magnetons per cell. Number 11: final energy -52.48 eV per atom, total magnetization 0.00 Bohr magnetons per cell. Number 12: final energy -61.68 eV per atom, total magnetization 0.00 Bohr magnetons per cell.